This record from the Alexandria database describes Cs3SbIr after structural relaxation. The functional is PBE.

Computed properties:
Density of states at the Fermi level, states/eV per atom: 1.0661
E_tot, eV/atom: -2.482
SG: Pm-3m (221)

Structure (POSCAR):
```
Cs3SbIr
1.0
6.109 0.000 0.000
0.000 6.109 0.000
0.000 0.000 6.109
Cs Sb Ir
3 1 1
Direct
0.000 0.000 0.500 Cs
0.000 0.500 0.000 Cs
0.500 0.000 0.000 Cs
0.500 0.500 0.500 Sb
0.000 0.000 0.000 Ir
```